(P)
First-principles (GGA-PBE) data for Pr3Dy2Tm8 after structural relaxation, as listed in Alexandria.

Lattice parameters (Å, degrees): 10.714 10.714 5.594 90.04 90.04 42.12
Fractional positions:
Pr  0.000  0.000  0.000
Pr  0.294  0.706  0.500
Pr  0.706  0.294  0.500
Dy  0.241  0.241  0.999
Dy  0.759  0.759  0.001
Tm  0.136  0.136  0.499
Tm  0.181  0.598  0.000
Tm  0.328  0.328  0.499
Tm  0.402  0.819  0.000
Tm  0.598  0.181  0.000
Tm  0.672  0.672  0.501
Tm  0.819  0.402  0.000
Tm  0.864  0.864  0.501

Results
- Total moment: 0.00 μB/cell
- Space-group type: C2/m, No. 12
- Calculated volume: 33.13 Å³ per atom



(Q)
First-principles (GGA-PBE) data for Pr3Dy2Tm8 after structural relaxation, as listed in Alexandria.

Lattice parameters (Å, degrees): 6.148 6.154 11.211 89.84 79.32 80.35
Fractional positions:
Pr  0.000  0.000  0.000
Pr  0.231  0.462  0.080
Pr  0.769  0.538  0.920
Dy  0.384  0.770  0.462
Dy  0.616  0.230  0.538
Tm  0.077  0.151  0.688
Tm  0.153  0.308  0.387
Tm  0.309  0.612  0.764
Tm  0.463  0.925  0.159
Tm  0.537  0.075  0.841
Tm  0.691  0.388  0.236
Tm  0.847  0.692  0.613
Tm  0.923  0.849  0.312

Results
- Total moment: 0.00 μB/cell
- Space-group type: P-1, No. 2
- Calculated volume: 31.59 Å³ per atom



Most stable one: (Q), least stable one: (P).



(P)
First-principles (GGA-PBE) data for PrDy6Tm4 after structural relaxation, as listed in Alexandria.

Lattice parameters (Å, degrees): 9.038 9.038 5.250 90.00 90.00 120.00
Fractional positions:
Pr  0.000  0.000  0.000
Dy  0.206  0.413  0.500
Dy  0.206  0.794  0.500
Dy  0.535  0.070  0.000
Dy  0.535  0.465  0.000
Dy  0.587  0.794  0.500
Dy  0.930  0.465  0.000
Tm  0.333  0.667  0.000
Tm  0.410  0.205  0.500
Tm  0.795  0.205  0.500
Tm  0.795  0.590  0.500

Results
- Total moment: 1.34 μB/cell
- Space-group type: P-6m2, No. 187
- Calculated volume: 33.76 Å³ per atom



(Q)
First-principles (GGA-PBE) data for PrDy6Tm4 after structural relaxation, as listed in Alexandria.

Lattice parameters (Å, degrees): 5.586 5.586 25.604 90.00 90.00 119.13
Fractional positions:
Pr  0.182  0.818  0.750
Pr  0.818  0.182  0.250
Dy  0.149  0.851  0.180
Dy  0.149  0.851  0.320
Dy  0.183  0.817  0.601
Dy  0.183  0.817  0.899
Dy  0.484  0.516  0.250
Dy  0.500  0.500  0.000
Dy  0.500  0.500  0.500
Dy  0.516  0.484  0.750
Dy  0.817  0.183  0.101
Dy  0.817  0.183  0.399
Dy  0.851  0.149  0.680
Dy  0.851  0.149  0.820
Tm  0.160  0.840  0.042
Tm  0.160  0.840  0.458
Tm  0.480  0.520  0.121
Tm  0.480  0.520  0.379
Tm  0.520  0.480  0.621
Tm  0.520  0.480  0.879
Tm  0.840  0.160  0.542
Tm  0.840  0.160  0.958

Results
- Total moment: 0.00 μB/cell
- Space-group type: Cmcm, No. 63
- Calculated volume: 31.72 Å³ per atom



Most stable one: (Q), least stable one: (P).



(P)
First-principles (GGA-PBE) data for Pr4Dy3Tm2 after structural relaxation, as listed in Alexandria.

Lattice parameters (Å, degrees): 6.707 6.707 14.454 115.07 115.07 31.66
Fractional positions:
Pr  0.217  0.217  0.109
Pr  0.277  0.277  0.628
Pr  0.723  0.723  0.372
Pr  0.783  0.783  0.891
Dy  0.492  0.492  0.112
Dy  0.500  0.500  0.500
Dy  0.508  0.508  0.888
Tm  0.047  0.047  0.709
Tm  0.953  0.953  0.291

Results
- Total moment: 0.00 μB/cell
- Space-group type: C2/m, No. 12
- Calculated volume: 34.04 Å³ per atom



(Q)
First-principles (GGA-PBE) data for Pr4Dy3Tm2 after structural relaxation, as listed in Alexandria.

Lattice parameters (Å, degrees): 9.870 9.870 7.097 90.00 90.00 120.34
Fractional positions:
Pr  0.153  0.178  0.000
Pr  0.156  0.479  0.500
Pr  0.178  0.153  0.500
Pr  0.479  0.156  0.000
Pr  0.521  0.844  0.000
Pr  0.822  0.847  0.500
Pr  0.844  0.521  0.500
Pr  0.847  0.822  0.000
Dy  0.172  0.828  0.250
Dy  0.172  0.828  0.750
Dy  0.500  0.500  0.250
Dy  0.500  0.500  0.750
Dy  0.828  0.172  0.250
Dy  0.828  0.172  0.750
Tm  0.176  0.520  0.000
Tm  0.480  0.824  0.500
Tm  0.520  0.176  0.500
Tm  0.824  0.480  0.000

Results
- Total moment: 0.00 μB/cell
- Space-group type: Cccm, No. 66
- Calculated volume: 33.15 Å³ per atom



Most stable one: (Q), least stable one: (P).



(P)
First-principles (GGA-PBE) data for PrDy4Tm7 after structural relaxation, as listed in Alexandria.

Lattice parameters (Å, degrees): 6.682 6.682 12.527 115.00 115.00 51.54
Fractional positions:
Pr  0.000  0.000  0.000
Dy  0.246  0.246  0.681
Dy  0.368  0.368  0.225
Dy  0.632  0.632  0.775
Dy  0.754  0.754  0.319
Tm  0.060  0.060  0.329
Tm  0.211  0.211  0.923
Tm  0.365  0.365  0.497
Tm  0.500  0.500  0.000
Tm  0.635  0.635  0.503
Tm  0.789  0.789  0.077
Tm  0.940  0.940  0.671

Results
- Total moment: 0.00 μB/cell
- Space-group type: C2/m, No. 12
- Calculated volume: 32.23 Å³ per atom



(Q)
First-principles (GGA-PBE) data for PrDy4Tm7 after structural relaxation, as listed in Alexandria.

Lattice parameters (Å, degrees): 6.160 7.106 8.747 90.00 103.57 90.00
Fractional positions:
Pr  0.000  0.000  0.000
Dy  0.222  0.500  0.666
Dy  0.279  0.749  0.336
Dy  0.721  0.251  0.664
Dy  0.778  0.500  0.334
Tm  0.000  0.500  0.000
Tm  0.223  0.000  0.665
Tm  0.279  0.251  0.335
Tm  0.500  0.250  0.000
Tm  0.500  0.750  0.000
Tm  0.721  0.749  0.665
Tm  0.777  0.000  0.335

Results
- Total moment: 0.00 μB/cell
- Space-group type: P-1, No. 2
- Calculated volume: 31.01 Å³ per atom



Most stable one: (Q), least stable one: (P).



(P)
First-principles (GGA-PBE) data for PrDy6Tm3 after structural relaxation, as listed in Alexandria.

Lattice parameters (Å, degrees): 6.863 6.863 6.863 90.60 90.60 90.60
Fractional positions:
Pr  0.000  0.000  0.000
Dy  0.002  0.336  0.666
Dy  0.169  0.833  0.502
Dy  0.336  0.666  0.002
Dy  0.502  0.169  0.833
Dy  0.666  0.002  0.336
Dy  0.833  0.502  0.169
Tm  0.252  0.252  0.252
Tm  0.499  0.499  0.499
Tm  0.744  0.744  0.744

Results
- Total moment: 0.00 μB/cell
- Space-group type: R3, No. 146
- Calculated volume: 32.32 Å³ per atom



(Q)
First-principles (GGA-PBE) data for PrDy6Tm3 after structural relaxation, as listed in Alexandria.

Lattice parameters (Å, degrees): 10.994 10.994 6.222 90.00 90.00 121.77
Fractional positions:
Pr  0.212  0.788  0.500
Pr  0.788  0.212  0.000
Dy  0.019  0.440  0.657
Dy  0.050  0.950  0.214
Dy  0.287  0.373  0.804
Dy  0.311  0.689  0.941
Dy  0.373  0.287  0.304
Dy  0.440  0.019  0.157
Dy  0.560  0.981  0.657
Dy  0.627  0.713  0.804
Dy  0.689  0.311  0.441
Dy  0.713  0.627  0.304
Dy  0.950  0.050  0.714
Dy  0.981  0.560  0.157
Tm  0.076  0.291  0.248
Tm  0.291  0.076  0.748
Tm  0.386  0.614  0.407
Tm  0.614  0.386  0.907
Tm  0.709  0.924  0.248
Tm  0.924  0.709  0.748

Results
- Total moment: 0.00 μB/cell
- Space-group type: Cmc2_1, No. 36
- Calculated volume: 31.97 Å³ per atom



Most stable one: (Q), least stable one: (P).



(P)
First-principles (GGA-PBE) data for PrDy4Tm2 after structural relaxation, as listed in Alexandria.

Lattice parameters (Å, degrees): 6.178 6.503 11.434 90.00 104.40 90.00
Fractional positions:
Pr  0.043  0.250  0.362
Pr  0.957  0.750  0.638
Dy  0.153  0.250  0.664
Dy  0.295  0.750  0.927
Dy  0.352  0.508  0.212
Dy  0.352  0.992  0.212
Dy  0.648  0.008  0.788
Dy  0.648  0.492  0.788
Dy  0.705  0.250  0.073
Dy  0.847  0.750  0.336
Tm  0.143  0.250  0.949
Tm  0.392  0.750  0.505
Tm  0.608  0.250  0.495
Tm  0.857  0.750  0.051

Results
- Total moment: 0.00 μB/cell
- Space-group type: P2_1/m, No. 11
- Calculated volume: 31.78 Å³ per atom



(Q)
First-principles (GGA-PBE) data for PrDy4Tm2 after structural relaxation, as listed in Alexandria.

Lattice parameters (Å, degrees): 8.489 8.489 8.720 118.43 118.43 23.95
Fractional positions:
Pr  0.000  0.000  0.000
Dy  0.295  0.295  0.705
Dy  0.360  0.360  0.170
Dy  0.640  0.640  0.830
Dy  0.705  0.705  0.295
Tm  0.071  0.071  0.431
Tm  0.929  0.929  0.569

Results
- Total moment: 0.00 μB/cell
- Space-group type: C2/m, No. 12
- Calculated volume: 31.84 Å³ per atom



Most stable one: (Q), least stable one: (P).



(P)
First-principles (GGA-PBE) data for Pr2Dy7Tm after structural relaxation, as listed in Alexandria.

Lattice parameters (Å, degrees): 14.806 14.806 3.509 90.00 90.00 154.56
Fractional positions:
Pr  0.207  0.793  0.000
Pr  0.793  0.207  0.000
Dy  0.000  0.000  0.000
Dy  0.158  0.352  0.000
Dy  0.316  0.684  0.500
Dy  0.352  0.158  0.000
Dy  0.648  0.842  0.000
Dy  0.684  0.316  0.500
Dy  0.842  0.648  0.000
Tm  0.500  0.500  0.500

Results
- Total moment: 0.00 μB/cell
- Space-group type: Cmmm, No. 65
- Calculated volume: 33.04 Å³ per atom



(Q)
First-principles (GGA-PBE) data for Pr2Dy7Tm after structural relaxation, as listed in Alexandria.

Lattice parameters (Å, degrees): 6.175 7.143 7.986 77.08 74.95 73.53
Fractional positions:
Pr  0.202  0.298  0.101
Pr  0.798  0.702  0.899
Dy  0.000  0.500  0.500
Dy  0.199  0.800  0.102
Dy  0.399  0.101  0.697
Dy  0.399  0.601  0.698
Dy  0.601  0.399  0.302
Dy  0.601  0.899  0.303
Dy  0.801  0.200  0.898
Tm  0.000  0.000  0.500

Results
- Total moment: 0.00 μB/cell
- Space-group type: P-1, No. 2
- Calculated volume: 32.19 Å³ per atom



Most stable one: (Q), least stable one: (P).



(P)
First-principles (GGA-PBE) data for PrDyTm after structural relaxation, as listed in Alexandria.

Lattice parameters (Å, degrees): 8.216 8.216 3.441 90.00 90.00 90.80
Fractional positions:
Pr  0.240  0.760  0.000
Pr  0.760  0.240  0.000
Dy  0.262  0.262  0.500
Dy  0.738  0.738  0.500
Tm  0.000  0.000  0.500
Tm  0.500  0.500  0.000

Results
- Total moment: 0.00 μB/cell
- Space-group type: Cmmm, No. 65
- Calculated volume: 38.71 Å³ per atom



(Q)
First-principles (GGA-PBE) data for PrDyTm after structural relaxation, as listed in Alexandria.

Lattice parameters (Å, degrees): 3.595 6.193 9.451 96.24 100.93 106.87
Fractional positions:
Pr  0.248  0.248  0.249
Pr  0.752  0.752  0.751
Dy  0.083  0.752  0.414
Dy  0.917  0.248  0.586
Tm  0.414  0.746  0.083
Tm  0.586  0.254  0.917

Results
- Total moment: 0.00 μB/cell
- Space-group type: P-1, No. 2
- Calculated volume: 32.44 Å³ per atom



(R)
First-principles (GGA-PBE) data for PrDyTm after structural relaxation, as listed in Alexandria.

Lattice parameters (Å, degrees): 3.536 5.436 10.341 90.00 99.85 90.00
Fractional positions:
Pr  0.206  0.250  0.412
Pr  0.794  0.750  0.588
Dy  0.388  0.250  0.776
Dy  0.612  0.750  0.224
Tm  0.041  0.250  0.081
Tm  0.959  0.750  0.919

Results
- Total moment: 0.00 μB/cell
- Space-group type: P2_1/m, No. 11
- Calculated volume: 32.64 Å³ per atom



(S)
First-principles (GGA-PBE) data for PrDyTm after structural relaxation, as listed in Alexandria.

Lattice parameters (Å, degrees): 8.000 8.000 8.000 154.08 154.08 36.98
Fractional positions:
Pr  0.000  0.000  0.000
Dy  0.330  0.330  0.000
Tm  0.668  0.668  0.000

Results
- Total moment: 0.00 μB/cell
- Space-group type: I4mm, No. 107
- Calculated volume: 32.55 Å³ per atom



Most stable one: (Q), least stable one: (P).



(P)
First-principles (GGA-PBE) data for Pr7DyTm3 after structural relaxation, as listed in Alexandria.

Lattice parameters (Å, degrees): 8.607 8.607 5.934 110.13 110.13 83.81
Fractional positions:
Pr  0.000  0.000  0.000
Pr  0.097  0.521  0.309
Pr  0.293  0.293  0.794
Pr  0.479  0.903  0.691
Pr  0.521  0.097  0.309
Pr  0.707  0.707  0.206
Pr  0.903  0.479  0.691
Dy  0.000  0.000  0.500
Tm  0.295  0.705  0.000
Tm  0.500  0.500  0.500
Tm  0.705  0.295  0.000

Results
- Total moment: 0.00 μB/cell
- Space-group type: C2/m, No. 12
- Calculated volume: 35.22 Å³ per atom



(Q)
First-principles (GGA-PBE) data for Pr7DyTm3 after structural relaxation, as listed in Alexandria.

Lattice parameters (Å, degrees): 10.345 10.345 12.692 114.89 114.89 40.76
Fractional positions:
Pr  0.080  0.585  0.472
Pr  0.081  0.588  0.976
Pr  0.207  0.793  0.750
Pr  0.336  0.349  0.228
Pr  0.349  0.336  0.728
Pr  0.412  0.919  0.524
Pr  0.415  0.920  0.028
Pr  0.585  0.080  0.972
Pr  0.588  0.081  0.476
Pr  0.651  0.664  0.272
Pr  0.664  0.651  0.772
Pr  0.793  0.207  0.250
Pr  0.919  0.412  0.024
Pr  0.920  0.415  0.528
Dy  0.000  0.000  0.000
Dy  0.000  0.000  0.500
Tm  0.168  0.176  0.274
Tm  0.176  0.168  0.774
Tm  0.500  0.500  0.000
Tm  0.500  0.500  0.500
Tm  0.824  0.832  0.226
Tm  0.832  0.824  0.726

Results
- Total moment: 0.00 μB/cell
- Space-group type: C2/c, No. 15
- Calculated volume: 36.02 Å³ per atom



Most stable one: (Q), least stable one: (P).